# AlCuRu, optimized geometry, DFT PBE
data_AlCuRu
_cell_length_a 4.112
_cell_length_b 2.945
_cell_length_c 6.836
_cell_angle_alpha 90.00
_cell_angle_beta 101.64
_cell_angle_gamma 90.00
_space_group_name_H-M_alt 'P 1 m 1'
_space_group_IT_number 6
loop_
_space_group_symop_operation_xyz
'x,y,z'
'x,-y,z'
loop_
_atom_site_label
_atom_site_fract_x
_atom_site_fract_y
_atom_site_fract_z
_atom_site_occupancy
Al1 0.000 0.000 0.000 1
Al2 0.295 0.500 0.379 1
Cu1 0.391 0.000 0.691 1
Cu2 0.893 0.500 0.688 1
Ru1 0.509 0.500 0.031 1
Ru2 0.786 0.000 0.348 1
# **Density**: 7.85 Mg/m³
# **E_tot**: -35.71 eV for the cell shown
# **Magnetization**: 0.00 μB/f.u.
# **DFT formation energy**: -0.2474 eV per atom
# **Offset from the most stable computed form**: 0.112 eV/atom

# Al2CuRu, optimized geometry, DFT PBE
data_Al2CuRu
_cell_length_a 6.040
_cell_length_b 6.040
_cell_length_c 6.040
_cell_angle_alpha 90.00
_cell_angle_beta 90.00
_cell_angle_gamma 90.00
_space_group_name_H-M_alt 'F -4 3 m'
_space_group_IT_number 216
_space_group_name_Hall 'F -4 2 3'
loop_
_atom_site_label
_atom_site_fract_x
_atom_site_fract_y
_atom_site_fract_z
_atom_site_occupancy
Al1 0.000 0.000 0.000 1
Al2 0.250 0.250 0.250 1
Cu1 0.250 0.250 0.750 1
Ru1 0.000 0.000 0.500 1
# **Density**: 6.59 Mg/m³
# **E_tot**: -86.06 eV for the cell shown
# **Magnetization**: 0.00 μB/f.u.
# **DFT formation energy**: -0.1642 eV per atom

# Al2CuRu, optimized geometry, DFT PBE
data_Al2CuRu
_cell_length_a 2.8187
_cell_length_b 2.8187
_cell_length_c 25.0439
_cell_angle_alpha 90.00
_cell_angle_beta 90.00
_cell_angle_gamma 120.00
_space_group_name_H-M_alt 'R 3 m'
_space_group_IT_number 160
_space_group_name_Hall 'R 3 -2"'
loop_
_atom_site_label
_atom_site_fract_x
_atom_site_fract_y
_atom_site_fract_z
_atom_site_occupancy
Al1 0.0000 0.0000 0.0000 1
Al2 0.0000 0.0000 0.2415 1
Cu1 0.0000 0.0000 0.4965 1
Ru1 0.0000 0.0000 0.7446 1
# **Density**: 6.32 Mg/m³
# **E_tot**: -63.47 eV for the cell shown
# **Magnetization**: 0.00 μB/f.u.
# **DFT formation energy**: -0.0745 eV per atom

# Al2CuRu, optimized geometry, DFT PBE
data_Al2CuRu
_cell_length_a 3.256
_cell_length_b 3.256
_cell_length_c 5.277
_cell_angle_alpha 90.00
_cell_angle_beta 90.00
_cell_angle_gamma 90.00
_space_group_name_H-M_alt 'P 4 m m'
_space_group_IT_number 99
loop_
_space_group_symop_operation_xyz
'x,y,z'
'-y,x,z'
'-x,-y,z'
'y,-x,z'
'-x,y,z'
'y,x,z'
'x,-y,z'
'-y,-x,z'
loop_
_atom_site_label
_atom_site_fract_x
_atom_site_fract_y
_atom_site_fract_z
_atom_site_occupancy
Al1 0.000 0.000 0.000 1
Al2 0.500 0.500 0.303 1
Cu1 0.000 0.000 0.510 1
Ru1 0.500 0.500 0.803 1
# **Density**: 6.49 Mg/m³
# **E_tot**: -22.08 eV for the cell shown
# **Magnetization**: 0.00 μB/f.u.
# **DFT formation energy**: -0.3063 eV per atom

# Al2CuRu, optimized geometry, DFT PBE
data_Al2CuRu
_cell_length_a 3.012
_cell_length_b 4.695
_cell_length_c 8.030
_cell_angle_alpha 90.00
_cell_angle_beta 90.00
_cell_angle_gamma 90.00
_space_group_name_H-M_alt 'C m m m'
_space_group_IT_number 65
_space_group_name_Hall '-C 2 2'
loop_
_atom_site_label
_atom_site_fract_x
_atom_site_fract_y
_atom_site_fract_z
_atom_site_occupancy
Al1 0.000 0.000 0.246 1
Cu1 0.000 0.500 0.500 1
Ru1 0.000 0.500 0.000 1
# **Density**: 6.39 Mg/m³
# **E_tot**: -43.21 eV for the cell shown
# **Magnetization**: 0.00 μB/f.u.
# **DFT formation energy**: -0.1866 eV per atom

# Al7Cu2Ru, optimized geometry, DFT PBE
data_Al7Cu2Ru
_cell_length_a 6.440
_cell_length_b 6.440
_cell_length_c 14.897
_cell_angle_alpha 90.00
_cell_angle_beta 90.00
_cell_angle_gamma 90.00
_space_group_name_H-M_alt 'P 4/m n c'
_space_group_IT_number 128
_space_group_name_Hall '-P 4 2n'
loop_
_atom_site_label
_atom_site_fract_x
_atom_site_fract_y
_atom_site_fract_z
_atom_site_occupancy
Al1 0.000 0.000 0.130 1
Al2 0.084 0.299 0.403 1
Al3 0.156 0.656 0.250 1
Cu1 0.089 0.733 0.000 1
Ru1 0.000 0.000 0.299 1
# **Density**: 4.48 Mg/m³
# **E_tot**: -188.22 eV for the cell shown
# **Magnetization**: 0.00 μB/f.u.
# **DFT formation energy**: -0.3388 eV per atom

# Al2CuRu, optimized geometry, DFT PBE
data_Al2CuRu
_cell_length_a 9.177
_cell_length_b 3.107
_cell_length_c 4.062
_cell_angle_alpha 90.00
_cell_angle_beta 109.99
_cell_angle_gamma 90.00
_space_group_name_H-M_alt 'C 1 m 1'
_space_group_IT_number 8
loop_
_space_group_symop_operation_xyz
'x,y,z'
'x,-y,z'
'x+1/2,y+1/2,z'
'x+1/2,-y+1/2,z'
loop_
_atom_site_label
_atom_site_fract_x
_atom_site_fract_y
_atom_site_fract_z
_atom_site_occupancy
Al1 0.000 0.000 0.000 1
Al2 0.235 0.000 0.667 1
Cu1 0.240 0.500 0.172 1
Ru1 0.496 0.000 0.499 1
# **Density**: 6.67 Mg/m³
# **E_tot**: -45.50 eV for the cell shown
# **Magnetization**: 0.00 μB/f.u.
# **DFT formation energy**: -0.4736 eV per atom

# Al2CuRu, optimized geometry, DFT PBE
data_Al2CuRu
_cell_length_a 5.914
_cell_length_b 5.928
_cell_length_c 3.051
_cell_angle_alpha 90.00
_cell_angle_beta 90.00
_cell_angle_gamma 90.00
_space_group_name_H-M_alt 'C m m m'
_space_group_IT_number 65
_space_group_name_Hall '-C 2 2'
loop_
_atom_site_label
_atom_site_fract_x
_atom_site_fract_y
_atom_site_fract_z
_atom_site_occupancy
Al1 0.250 0.250 0.000 1
Cu1 0.000 0.000 0.500 1
Ru1 0.000 0.500 0.500 1
# **Density**: 6.79 Mg/m³
# **E_tot**: -45.79 eV for the cell shown
# **Magnetization**: 0.00 μB/f.u.
# **DFT formation energy**: -0.5096 eV per atom

Copy entry 8 word for word.
# Al2CuRu, optimized geometry, DFT PBE
data_Al2CuRu
_cell_length_a 5.914
_cell_length_b 5.928
_cell_length_c 3.051
_cell_angle_alpha 90.00
_cell_angle_beta 90.00
_cell_angle_gamma 90.00
_space_group_name_H-M_alt 'C m m m'
_space_group_IT_number 65
_space_group_name_Hall '-C 2 2'
loop_
_atom_site_label
_atom_site_fract_x
_atom_site_fract_y
_atom_site_fract_z
_atom_site_occupancy
Al1 0.250 0.250 0.000 1
Cu1 0.000 0.000 0.500 1
Ru1 0.000 0.500 0.500 1
# **Density**: 6.79 Mg/m³
# **E_tot**: -45.79 eV for the cell shown
# **Magnetization**: 0.00 μB/f.u.
# **DFT formation energy**: -0.5096 eV per atom